Entry 1:
Entry from Alexandria: MnPIr4 after structural relaxation (PBE-GGA).

Cell lengths 7.3214, 7.3214, 7.3214 Å; angles 90.00, 90.00, 90.00 degrees
With the nearest neighbours (Å) after each atom.
Space group F-43m (No. 216)
Asymmetric unit:
Mn 0.0000 0.0000 0.0000 (multiplicity 4)  12 Ir 3.04, 4 P 3.17
P 0.2500 0.2500 0.7500 (multiplicity 4)  12 Ir 3.04, 4 Mn 3.17
Ir 0.1250 0.1250 0.3750 (multiplicity 16)  6 Ir 2.59

Computed properties:
* crystal system: cubic
* energy of formation from the pure elements: 13.38 kcal/mol of atoms

=====

Entry 2:
Entry from Alexandria: Lu3ZrN after structural relaxation (PBE-GGA).

Cell lengths 4.7620, 4.7620, 4.7620 Å; angles 90.00, 90.00, 90.00 degrees
With the nearest neighbours (Å) after each atom.
Space group Pm-3m (No. 221)
Asymmetric unit:
Lu 0.0000 0.0000 0.5000 (multiplicity 3)  2 N 2.38
Zr 0.5000 0.5000 0.5000 (multiplicity 1)  12 Lu 3.37
N 0.0000 0.0000 0.0000 (multiplicity 1)  6 Lu 2.38

Computed properties:
* crystal system: cubic

=====

Entry 3:
Entry from Alexandria: PmSmTm6 after structural relaxation (PBE-GGA).

Cell lengths 4.9846, 4.9846, 9.9697 Å; angles 90.00, 90.00, 90.00 degrees
With the nearest neighbours (Å) after each atom.
Space group P4/mmm (No. 123)
Asymmetric unit:
Pm 0.0000 0.0000 0.0000 (multiplicity 1)  12 Tm 3.52-3.53
Sm 0.0000 0.0000 0.5000 (multiplicity 1)  12 Tm 3.52
Tm 0.0000 0.5000 0.2504 (multiplicity 4)  8 Tm 3.52-3.53, 2 Sm 3.52, 2 Pm 3.53
Tm 0.5000 0.5000 0.0000 (multiplicity 1)  4 Pm 3.52, 8 Tm 3.53
Tm 0.5000 0.5000 0.5000 (multiplicity 1)  8 Tm 3.52, 4 Sm 3.52

Computed properties:
* energy above the lowest structure with this stoichiometry: 0.00 kcal/mol of atoms
* crystal system: tetragonal
* energy of formation from the pure elements: 0.62 kcal/mol of atoms

=====

Entry 4:
Entry from Alexandria: Mn2AgPd2 after structural relaxation (PBE-GGA).

Cell lengths 7.4165, 7.4165, 2.6643 Å; angles 90.00, 90.00, 90.00 degrees
With the nearest neighbours (Å) after each atom.
Space group P4/mbm (No. 127)
Asymmetric unit:
Mn 0.1689 0.3311 0.0000 (multiplicity 4)  6 Pd 2.51-2.59, 2 Mn 2.66
Ag 0.0000 0.0000 0.5000 (multiplicity 2)  2 Ag 2.66, 4 Pd 2.92
Pd 0.1278 0.6278 0.5000 (multiplicity 4)  6 Mn 2.51-2.59, 3 Pd 2.66-2.68

Computed properties:
* energy above the lowest structure with this stoichiometry: 4.99 kcal/mol of atoms
* crystal system: tetragonal
* energy of formation from the pure elements: 11.54 kcal/mol of atoms

=====

Entry 5:
Entry from Alexandria: YHoAlCd after structural relaxation (PBE-GGA).

Cell lengths 3.6383, 3.6383, 7.4634 Å; angles 90.00, 90.00, 90.00 degrees
With the nearest neighbours (Å) after each atom.
Space group P4mm (No. 99)
Asymmetric unit:
Y 0.0000 0.0000 0.0000 (multiplicity 1)  4 Al 3.14, 4 Cd 3.24
Ho 0.0000 0.0000 0.5212 (multiplicity 1)  4 Al 3.12, 4 Cd 3.21
Al 0.5000 0.5000 0.7586 (multiplicity 1)  4 Ho 3.12, 4 Y 3.14
Cd 0.5000 0.5000 0.2639 (multiplicity 1)  4 Ho 3.21, 4 Y 3.24

Computed properties:
* energy above the lowest structure with this stoichiometry: 0.00 kcal/mol of atoms
* crystal system: tetragonal
* energy of formation from the pure elements: -8.77 kcal/mol of atoms

=====

| no. | final energy (eV per cell) |
| --- | --- |
| 1 | -186.2 |
| 2 | -33.1 |
| 3 | -36.1 |
| 4 | -58.1 |
| 5 | -17.2 |